{"formula": "YTm2Th3Se6", "functional": "PBE-GGA", "state": "relaxed", "magmom_total_mub_per_cell": 0.00, "formation_energy_uncorrected_ev_per_atom": -1.616, "sg": "C2/m (12)", "lattice_angstrom": [[-1.9141, 4.2411, -5.0680], [-3.8645, -0.5147, 5.6688], [5.6894, 4.1281, 2.8620]], "species": ["Se", "Th", "Se", "Tm", "Se", "Se", "Se", "Th", "Se", "Y", "Th", "Tm"], "fractional_positions": [[0.7386, 0.7386, 0.2283], [0.8353, 0.1647, 0.5000], [0.9231, 0.5857, 0.7696], [0.3330, 0.6670, 0.0000], [0.4143, 0.0769, 0.2304], [0.0769, 0.4143, 0.2304], [0.5857, 0.9231, 0.7696], [0.1647, 0.8353, 0.5000], [0.2614, 0.2614, 0.7717], [0.0000, 0.0000, 0.0000], [0.5000, 0.5000, 0.5000], [0.6670, 0.3330, 0.0000]]}